1.
Here is a relaxed BaMgBe crystal from Alexandria. Energies are from PBE.

abc: 5.854 4.128 7.703
angles: 90.00 100.46 90.00
Atoms (fractional coordinates):
Ba: 0.000 0.000 0.000
Ba: 0.162 0.000 0.515
Mg: 0.544 0.500 0.211
Mg: 0.672 0.500 0.626
Be: 0.473 0.254 0.881
Be: 0.473 0.746 0.881

Properties
Density, g cm⁻³: 3.10
Formation enthalpy at 0 K, eV per atom: 0.25
Uncorrected energy, eV per atom: -2.17
Distance to the lowest polymorph of the same formula, meV per atom: 64.8

2.
Here is a relaxed La7GaCo2Hg2 crystal from Alexandria. Energies are from PBE.

abc: 5.260 5.260 13.736
angles: 100.93 100.93 90.02
Atoms (fractional coordinates):
La: 0.000 0.000 0.000
La: 0.094 0.595 0.191
La: 0.206 0.206 0.414
La: 0.405 0.906 0.809
La: 0.595 0.094 0.191
La: 0.794 0.794 0.586
La: 0.906 0.405 0.809
Ga: 0.500 0.500 0.000
Co: 0.102 0.102 0.204
Co: 0.898 0.898 0.796
Hg: 0.327 0.327 0.649
Hg: 0.673 0.673 0.351

Properties
Density, g cm⁻³: 7.08
Formation enthalpy at 0 K, eV per atom: -0.25
Uncorrected energy, eV per atom: -4.61

3.
Here is a relaxed Dy4CdRh5 crystal from Alexandria. Energies are from PBE.

abc: 3.418 3.418 16.588
angles: 90.00 90.00 90.00
Atoms (fractional coordinates):
Dy: 0.000 0.000 0.103
Dy: 0.000 0.000 0.310
Dy: 0.000 0.000 0.690
Dy: 0.000 0.000 0.897
Cd: 0.000 0.000 0.500
Rh: 0.500 0.500 0.000
Rh: 0.500 0.500 0.204
Rh: 0.500 0.500 0.406
Rh: 0.500 0.500 0.594
Rh: 0.500 0.500 0.796

Properties
Density, g cm⁻³: 10.94
Formation enthalpy at 0 K, eV per atom: -0.74
Uncorrected energy, eV per atom: -6.35

4.
Here is a relaxed La5BiTe4 crystal from Alexandria. Energies are from PBE.

abc: 16.607 16.607 16.607
angles: 164.05 164.05 22.63
Atoms (fractional coordinates):
La: 0.000 0.000 0.000
La: 0.201 0.201 0.000
La: 0.399 0.399 0.000
La: 0.601 0.601 0.000
La: 0.799 0.799 0.000
Bi: 0.500 0.500 0.000
Te: 0.100 0.100 0.000
Te: 0.300 0.300 0.000
Te: 0.700 0.700 0.000
Te: 0.900 0.900 0.000

Properties
Density, g cm⁻³: 6.79
Uncorrected energy, eV per atom: -5.60
Formation energy from raw total energies, kJ/mol of formula units: -1443

5.
Here is a relaxed NdPaAl2 crystal from Alexandria. Energies are from PBE.

abc: 3.285 3.285 8.722
angles: 90.00 90.00 90.00
Atoms (fractional coordinates):
Nd: 0.000 0.000 0.000
Pa: 0.000 0.000 0.500
Al: 0.500 0.500 0.259
Al: 0.500 0.500 0.741

Properties
Density, g cm⁻³: 7.57
Formation enthalpy at 0 K, eV per atom: -0.20
Uncorrected energy, eV per atom: -5.64
Distance to the lowest polymorph of the same formula, meV per atom: 0.0

6.
Here is a relaxed KZn2Ga4Au crystal from Alexandria. Energies are from PBE.

abc: 10.667 10.667 10.667
angles: 23.88 23.88 23.88
Atoms (fractional coordinates):
K: 0.000 0.000 0.000
Zn: 0.246 0.246 0.246
Zn: 0.754 0.754 0.754
Ga: 0.128 0.128 0.128
Ga: 0.411 0.411 0.411
Ga: 0.589 0.589 0.589
Ga: 0.872 0.872 0.872
Au: 0.500 0.500 0.500

Properties
Density, g cm⁻³: 6.13
Formation enthalpy at 0 K, eV per atom: -0.09
Uncorrected energy, eV per atom: -2.46